Compound: Al2InOs
Source: Alexandria via LeMat-Bulk
Functional: PBE
Structure: optimized geometry

The calculation puts the uncorrected energy at -5.30 eV/atom. The calculated volume is 16.21 Å³/atom. As for the formation enthalpy at 0 K: 61 meV/atom.

It has space group I-4m2 (No. 119), with a = 4.008 Å, b = 4.008 Å, c = 8.074 Å, α = 90.00°, β = 90.00° and γ = 90.00°. Symmetry generates all atoms from Al at (0.000, 0.000, 0.000), Al at (0.000, 0.500, 0.250), In at (0.000, 0.000, 0.500) and Os at (0.000, 0.500, 0.750).

Compound: Pm5InPt
Source: Alexandria via LeMat-Bulk
Functional: PBE
Structure: optimized geometry

The calculation puts the uncorrected energy at -5.01 eV/atom. The calculated volume is 30.08 Å³/atom. As for the formation enthalpy at 0 K: -360 meV/atom.

It has space group C2/c (No. 15), with a = 9.166 Å, b = 8.005 Å, c = 11.871 Å, α = 90.00°, β = 104.75° and γ = 90.00°. Symmetry generates all atoms from Pm at (0.000, 0.009, 0.250), Pm at (0.122, 0.344, 0.556), Pm at (0.246, 0.316, 0.871), In at (0.000, 0.406, 0.250) and Pt at (0.000, 0.000, 0.000).